# 1
Density functional theory data (GGA-PBEsol) for a relaxed ZnNiRh2 crystal.

a b c (Å): 2.615 2.615 8.590
angles (deg): 90.00 90.00 118.43
Atoms (fractional coordinates):
Ni (0.500, 0.500, 0.255)
Rh (0.000, 0.000, 0.010)
Rh (0.500, 0.500, 0.745)
Zn (0.000, 0.000, 0.491)

Computed properties:
**Magnetic moment**: 0.010 μB per formula unit
**Space group**: Cmm2
**DFT formation energy**: 26 kJ/mol of formula units

***

# 2
Density functional theory data (GGA-PBEsol) for a relaxed ZrNi4Rh crystal.

a b c (Å): 4.713 4.713 4.713
angles (deg): 60.00 60.00 60.00
Atoms (fractional coordinates):
Ni (0.376, 0.376, 0.376)
Ni (0.376, 0.376, 0.872)
Ni (0.872, 0.376, 0.376)
Ni (0.376, 0.872, 0.376)
Rh (0.750, 0.750, 0.750)
Zr (0.000, 0.000, 0.000)

Computed properties:
**Magnetic moment**: 0.012 μB per formula unit
**Space group**: F-43m
**DFT formation energy**: -224 kJ/mol of formula units

***

# 3
Density functional theory data (GGA-PBEsol) for a relaxed ZrNi2Rh crystal.

a b c (Å): 3.225 3.225 5.282
angles (deg): 90.00 90.00 90.00
Atoms (fractional coordinates):
Ni (0.000, 0.000, 0.763)
Ni (0.000, 0.000, 0.237)
Rh (0.500, 0.500, 0.000)
Zr (0.500, 0.500, 0.500)

Computed properties:
**Magnetic moment**: 0.003 μB per formula unit
**Space group**: P4/mmm
**DFT formation energy**: -110 kJ/mol of formula units

***

# 4
Density functional theory data (GGA-PBEsol) for a relaxed Zr2Ni2Rh crystal.

a b c (Å): 3.271 6.825 6.825
angles (deg): 90.00 90.00 90.00
Atoms (fractional coordinates):
Ni (0.000, 0.377, 0.877)
Ni (0.000, 0.877, 0.623)
Ni (0.000, 0.623, 0.123)
Ni (0.000, 0.123, 0.377)
Rh (0.000, 0.000, 0.000)
Rh (0.000, 0.500, 0.500)
Zr (0.500, 0.179, 0.679)
Zr (0.500, 0.679, 0.821)
Zr (0.500, 0.821, 0.321)
Zr (0.500, 0.321, 0.179)

Computed properties:
**Magnetic moment**: 0.000 μB per formula unit
**Space group**: P4/mbm
**DFT formation energy**: -266 kJ/mol of formula units

***

# 5
Density functional theory data (GGA-PBEsol) for a relaxed ZrNi2Rh crystal.

a b c (Å): 2.716 2.716 8.795
angles (deg): 81.12 81.12 60.00
Last column: magnetic moment on the atom in μB.
Atoms (fractional coordinates):
Ni (0.245, 0.245, 0.265)  0.35
Ni (0.755, 0.755, 0.735)  0.35
Rh (0.500, 0.500, 0.500)  0.39
Zr (0.000, 0.000, 0.000)  -0.01

Computed properties:
**Magnetic moment**: 1.035 μB per formula unit
**Space group**: R-3m
**DFT formation energy**: 67 kJ/mol of formula units

***

# 6
Density functional theory data (GGA-PBEsol) for a relaxed ZrNi2Rh crystal.

a b c (Å): 3.779 3.779 4.623
angles (deg): 114.12 114.13 90.00
Last column: magnetic moment on the atom in μB.
Atoms (fractional coordinates):
Ni (0.750, 0.750, 0.500)  0.09
Ni (0.250, 0.250, 0.500)  0.09
Rh (0.500, 0.000, 0.000)  0.06
Zr (0.000, 0.500, 0.000)  -0.01

Computed properties:
**Magnetic moment**: 0.208 μB per formula unit
**Space group**: I4/mmm
**DFT formation energy**: -183 kJ/mol of formula units

***

# 7
Density functional theory data (GGA-PBEsol) for a relaxed ZrNiRh2 crystal.

a b c (Å): 2.894 3.684 5.427
angles (deg): 90.00 89.97 90.00
Atoms (fractional coordinates):
Ni (0.500, 0.500, 0.772)
Rh (0.000, 0.000, 0.984)
Rh (0.500, 0.500, 0.239)
Zr (0.000, 0.000, 0.505)

Computed properties:
**Magnetic moment**: 0.002 μB per formula unit
**Space group**: Pmm2
**DFT formation energy**: -134 kJ/mol of formula units

***

# 8
Density functional theory data (GGA-PBEsol) for a relaxed ZrNiRh2 crystal.

a b c (Å): 2.771 4.238 5.103
angles (deg): 90.00 103.79 90.00
Atoms (fractional coordinates):
Ni (0.000, 0.500, 0.500)
Rh (0.847, 0.000, 0.725)
Rh (0.153, 0.000, 0.275)
Zr (0.500, 0.500, 0.000)

Computed properties:
**Magnetic moment**: 0.001 μB per formula unit
**Space group**: P2/m
**DFT formation energy**: -106 kJ/mol of formula units

***

# 9
Density functional theory data (GGA-PBEsol) for a relaxed NiRu crystal.

a b c (Å): 2.585 4.381 4.461
angles (deg): 99.95 106.85 90.00
Atoms (fractional coordinates):
Ru (0.876, 0.621, 0.753)
Ru (0.124, 0.379, 0.247)
Ni (0.627, 0.886, 0.253)
Ni (0.373, 0.114, 0.747)

Computed properties:
**Magnetic moment**: 0.000 μB per formula unit
**Space group**: C2/m
**DFT formation energy**: 19 kJ/mol of formula units

***

# 10
Density functional theory data (GGA-PBEsol) for a relaxed Ni2Ru crystal.

a b c (Å): 2.513 4.169 4.169
angles (deg): 90.00 90.00 90.00
Last column: magnetic moment on the atom in μB.
Atoms (fractional coordinates):
Ni (0.500, 0.000, 0.500)  0.68
Ni (0.500, 0.500, 0.000)  0.68
Ru (0.000, 0.000, 0.000)  0.61

Computed properties:
**Magnetic moment**: 1.966 μB per formula unit
**Space group**: P4/mmm
**DFT formation energy**: 229 kJ/mol of formula units

***

# 11
Density functional theory data (GGA-PBEsol) for a relaxed Ni7Ru crystal.

a b c (Å): 4.962 4.962 4.962
angles (deg): 60.00 60.00 60.00
Last column: magnetic moment on the atom in μB.
Atoms (fractional coordinates):
Ni (0.000, 0.500, 0.500)  0.48
Ni (0.000, 0.500, 0.000)  0.48
Ni (0.000, 0.000, 0.500)  0.48
Ni (0.500, 0.500, 0.000)  0.48
Ni (0.500, 0.000, 0.500)  0.48
Ni (0.500, 0.000, 0.000)  0.48
Ni (0.500, 0.500, 0.500)  0.80
Ru (0.000, 0.000, 0.000)  0.62

Computed properties:
**Magnetic moment**: 4.185 μB per formula unit
**Space group**: Fm-3m
**DFT formation energy**: 62 kJ/mol of formula units

***

# 12
Density functional theory data (GGA-PBEsol) for a relaxed Ni3Ru crystal.

a b c (Å): 2.538 2.538 6.907
angles (deg): 90.00 90.00 90.00
Last column: magnetic moment on the atom in μB.
Atoms (fractional coordinates):
Ru (0.500, 0.500, 0.500)  0.00
Ni (0.000, 0.000, 0.757)  0.04
Ni (0.000, 0.000, 0.243)  0.04
Ni (0.500, 0.500, 0.000)  0.18

Computed properties:
**Magnetic moment**: 0.238 μB per formula unit
**Space group**: P4/mmm
**DFT formation energy**: 33 kJ/mol of formula units